1.
The following is a DFT calculation (PBE-GGA) of a relaxed Rb2BaAgMo crystal.

- Energy of formation from the pure elements: 1.422 eV per atom
- Density: 2.93 Mg/m³

a b c (Å): 7.4204 7.4204 5.2658
angles (deg): 90.00 90.00 90.00
Last column: nearest neighbours and their distance in Å.
Sites, in units of the cell vectors:
Rb 0.0000 0.5000 0.0000  2 Ba 3.71
Rb 0.5000 0.0000 0.0000  2 Ba 3.71
Ba 0.0000 0.0000 0.0000  2 Mo 2.63
Ag 0.5000 0.5000 0.5000  8 Rb 4.55
Mo 0.0000 0.0000 0.5000  2 Ba 2.63

2.
The following is a DFT calculation (PBE-GGA) of a relaxed BaAgMo2S crystal.

- Density: 4.71 Mg/m³
- Formation energy from raw total energies: 1499 meV/atom

a b c (Å): 5.1152 5.1152 6.3257
angles (deg): 90.00 90.00 90.00
Last column: nearest neighbours and their distance in Å.
Sites, in units of the cell vectors:
Ba 0.0000 0.0000 0.0000  2 Ag 3.16
Ag 0.0000 0.0000 0.5000  4 Mo 2.56
Mo 0.0000 0.5000 0.5000  2 Ag 2.56
Mo 0.5000 0.0000 0.5000  2 Ag 2.56
S 0.5000 0.5000 0.0000  4 Ba 3.62

3.
The following is a DFT calculation (PBE-GGA) of a relaxed BaSiAgMo2 crystal.

- Density: 5.81 Mg/m³
- Formation energy from raw total energies: 1521 meV/atom

a b c (Å): 5.2905 5.2905 4.7516
angles (deg): 90.00 90.00 90.00
Last column: nearest neighbours and their distance in Å.
Sites, in units of the cell vectors:
Ba 0.0000 0.0000 0.0000  8 Mo 3.56, 4 Si 3.74
Si 0.5000 0.5000 0.0000  2 Ag 2.38
Ag 0.5000 0.5000 0.5000  2 Si 2.38, 4 Mo 2.65
Mo 0.0000 0.5000 0.5000  2 Ag 2.65
Mo 0.5000 0.0000 0.5000  2 Ag 2.65

4.
The following is a DFT calculation (PBE-GGA) of a relaxed BaSi2AgMo crystal.

- Density: 5.34 Mg/m³
- Formation energy from raw total energies: 8 meV/atom

a b c (Å): 4.7844 4.7844 5.3964
angles (deg): 90.00 90.00 90.00
Last column: nearest neighbours and their distance in Å.
Sites, in units of the cell vectors:
Ba 0.0000 0.0000 0.0000  4 Ag 3.38, 8 Si 3.61
Si 0.0000 0.5000 0.5000  2 Mo 2.39
Si 0.5000 0.0000 0.5000  2 Mo 2.39
Ag 0.5000 0.5000 0.0000  2 Mo 2.70
Mo 0.5000 0.5000 0.5000  4 Si 2.39

5.
The following is a DFT calculation (PBE-GGA) of a relaxed BaSr2AgMo crystal.

- Energy of formation from the pure elements: 0.803 eV per atom
- Density: 3.73 Mg/m³

a b c (Å): 6.0511 6.0511 6.2823
angles (deg): 90.00 90.00 90.00
Last column: nearest neighbours and their distance in Å.
Sites, in units of the cell vectors:
Ba 0.0000 0.0000 0.0000  2 Ag 3.14
Sr 0.0000 0.5000 0.5000  2 Ag 3.03
Sr 0.5000 0.0000 0.5000  2 Ag 3.03
Ag 0.0000 0.0000 0.5000  4 Sr 3.03, 2 Ba 3.14
Mo 0.5000 0.5000 0.0000  4 Ba 4.28, 8 Sr 4.36

6.
The following is a DFT calculation (PBE-GGA) of a relaxed BaTiAg2Mo crystal.

- Energy of formation from the pure elements: 2.121 eV per atom
- Density: 5.01 Mg/m³

a b c (Å): 5.5805 5.5805 5.2837
angles (deg): 90.00 90.00 90.00
Last column: nearest neighbours and their distance in Å.
Sites, in units of the cell vectors:
Ba 0.0000 0.0000 0.0000  2 Mo 2.64, 4 Ag 2.79
Ti 0.5000 0.5000 0.5000  8 Ag 3.84, 4 Mo 3.95
Ag 0.0000 0.5000 0.0000  2 Ba 2.79
Ag 0.5000 0.0000 0.0000  2 Ba 2.79
Mo 0.0000 0.0000 0.5000  2 Ba 2.64

7.
The following is a DFT calculation (PBE-GGA) of a relaxed Ba2AgN crystal.

- Density: 5.20 Mg/m³
- Formation energy from raw total energies: -195 meV/atom

a b c (Å): 8.2512 7.4371 8.2578
angles (deg): 90.00 90.00 90.00
Last column: nearest neighbours and their distance in Å.
Sites, in units of the cell vectors:
Ba 0.1566 0.9996 0.1567  2 N 2.61
Ba 0.1566 0.5004 0.1567  2 N 2.61
Ba 0.3434 0.0004 0.6567  2 N 2.61
Ba 0.3434 0.4996 0.6567  2 N 2.61
Ba 0.6566 0.9996 0.3433  2 N 2.61
Ba 0.6566 0.5004 0.3433  2 N 2.61
Ba 0.8434 0.0004 0.8433  2 N 2.61
Ba 0.8434 0.4996 0.8433  2 N 2.61
Ag 0.0002 0.2500 0.4988  8 Ba 3.62-3.63, 2 Ag 3.72
Ag 0.9998 0.7500 0.5012  8 Ba 3.62-3.63, 2 Ag 3.72
Ag 0.5002 0.2500 0.0012  8 Ba 3.62-3.63, 2 Ag 3.72
Ag 0.4998 0.7500 0.9988  8 Ba 3.62-3.63, 2 Ag 3.72
N 0.0049 0.2500 0.9954  4 Ba 2.61
N 0.4951 0.7500 0.4954  4 Ba 2.61
N 0.5049 0.2500 0.5046  4 Ba 2.61
N 0.9951 0.7500 0.0046  4 Ba 2.61

8.
The following is a DFT calculation (PBE-GGA) of a relaxed Ba2AgN crystal.

- Density: 5.44 Mg/m³
- Formation energy from raw total energies: -299 meV/atom

a b c (Å): 8.6489 8.6489 8.6489
angles (deg): 27.41 27.41 27.41
Last column: nearest neighbours and their distance in Å.
Sites, in units of the cell vectors:
Ba 0.0000 0.0000 0.0000  3 N 2.80
Ba 0.2125 0.2125 0.2125  3 N 2.81
Ag 0.4401 0.4401 0.4401  6 Ba 3.54-3.56
N 0.6066 0.6066 0.6066  6 Ba 2.80-2.81

9.
The following is a DFT calculation (PBE-GGA) of a relaxed Ba4Ag2N crystal.

- E above lowest polymorph: 0 kJ/mol of formula units
- Density: 4.47 Mg/m³
- Formation energy from raw total energies: -270 meV/atom

a b c (Å): 7.9485 8.0016 9.5327
angles (deg): 90.00 107.48 90.00
Last column: nearest neighbours and their distance in Å.
Sites, in units of the cell vectors:
Ba 0.0244 0.0122 0.2495  1 N 2.50
Ba 0.0244 0.4878 0.2495  1 N 2.50
Ba 0.4105 0.2500 0.5752  1 N 2.52
Ba 0.4251 0.2500 0.1328  1 N 2.53
Ba 0.5749 0.7500 0.8672  1 N 2.53
Ba 0.5895 0.7500 0.4248  1 N 2.52
Ba 0.9756 0.5122 0.7505  1 N 2.50
Ba 0.9756 0.9878 0.7505  1 N 2.50
Ag 0.2174 0.7500 0.5540  6 Ba 3.45-3.60
Ag 0.2491 0.7500 0.0619  6 Ba 3.57-3.70
Ag 0.7509 0.2500 0.9381  6 Ba 3.57-3.70
Ag 0.7826 0.2500 0.4460  6 Ba 3.45-3.60
N 0.2391 0.2500 0.3061  4 Ba 2.50-2.53
N 0.7609 0.7500 0.6939  4 Ba 2.50-2.53

10.
The following is a DFT calculation (PBE-GGA) of a relaxed Ba6Ag2N crystal.

- E above lowest polymorph: 113 kJ/mol of formula units
- Density: 4.04 Mg/m³
- Formation energy from raw total energies: -109 meV/atom

a b c (Å): 8.1509 8.1509 12.9239
angles (deg): 112.00 112.00 33.26
Last column: nearest neighbours and their distance in Å.
Sites, in units of the cell vectors:
Ba 0.0072 0.0072 0.2978  1 N 2.66
Ba 0.1753 0.1753 0.5976  1 N 2.53
Ba 0.3446 0.3446 0.9460  3 Ag 3.40-3.43
Ba 0.6554 0.6554 0.0540  3 Ag 3.40-3.43
Ba 0.8247 0.8247 0.4024  1 N 2.53
Ba 0.9928 0.9928 0.7022  1 N 2.66
Ag 0.3200 0.3200 0.1964  7 Ba 3.40-3.57
Ag 0.6800 0.6800 0.8036  7 Ba 3.40-3.57
N 0.0000 0.0000 0.5000  4 Ba 2.53-2.66

11.
The following is a DFT calculation (PBE-GGA) of a relaxed BaAgN3 crystal.

- Density: 5.07 Mg/m³
- Formation energy from raw total energies: 2570 meV/atom

a b c (Å): 4.5470 4.5470 4.5470
angles (deg): 90.00 90.00 90.00
Last column: nearest neighbours and their distance in Å.
Sites, in units of the cell vectors:
Ba 0.0000 0.0000 0.0000  6 N 2.27
Ag 0.5000 0.5000 0.5000  12 N 3.22
N 0.0000 0.0000 0.5000  2 Ba 2.27
N 0.0000 0.5000 0.0000  2 Ba 2.27
N 0.5000 0.0000 0.0000  2 Ba 2.27

12.
The following is a DFT calculation (PBE-GGA) of a relaxed Ba2AgN crystal.

- Density: 5.40 Mg/m³
- Formation energy from raw total energies: -296 meV/atom

a b c (Å): 8.6434 8.6434 8.6434
angles (deg): 27.55 27.55 27.55
Last column: nearest neighbours and their distance in Å.
Sites, in units of the cell vectors:
Ba 0.2270 0.2270 0.2270  3 N 2.81
Ba 0.7730 0.7730 0.7730  3 N 2.81
Ag 0.0000 0.0000 0.0000  6 Ba 3.56
N 0.5000 0.5000 0.5000  6 Ba 2.81

| no. | energy (eV per atom) |
| --- | --- |
| 1 | -2.09 |
| 2 | -4.61 |
| 3 | -4.85 |
| 4 | -5.28 |
| 5 | -2.99 |
| 6 | -3.15 |
| 7 | -3.95 |
| 8 | -4.05 |
| 9 | -3.37 |
| 10 | -2.95 |
| 11 | -3.38 |
| 12 | -4.05 |